This record from Alexandria describes a relaxed K4NaCl5 crystal. The functional is PBEsol.

Cell: 15.5727 15.5727 15.5727 Å, 163.93 163.93 22.80°
Fractional positions:
K: 0.0981 0.0981 0.0000
K: 0.3016 0.3016 0.0000
K: 0.6984 0.6984 0.0000
K: 0.9019 0.9019 0.0000
Na: 0.5000 0.5000 0.0000
Cl: 0.0000 0.0000 0.0000
Cl: 0.1992 0.1992 0.0000
Cl: 0.4069 0.4069 0.0000
Cl: 0.5931 0.5931 0.0000
Cl: 0.8008 0.8008 0.0000

Properties
- excess energy over the best structure of this formula in the dataset (eV/f.u.) = 0.02
- raw formation energy (eV per atom) = -1.8986